# 1
NaHf2V | PBE-GGA | relaxed

a = 7.3844 Å, b = 7.3844 Å, c = 10.8543 Å
α = 90.00°, β = 90.00°, γ = 90.00°
With the nearest neighbours (Å) after each atom.
Element x y z (fractional)
Na1 0.0000 0.2500 0.3750  12 Hf 4.35-4.47, 4 Na 4.58, 4 V 4.58
Na2 0.0000 0.7500 0.6250  12 Hf 4.35-4.47, 4 Na 4.58, 4 V 4.58
Na3 0.5000 0.2500 0.1250  12 Hf 4.35-4.47, 4 Na 4.58, 4 V 4.58
Na4 0.5000 0.7500 0.8750  12 Hf 4.35-4.47, 4 V 4.58, 4 Na 4.58
Hf1 0.0000 0.0000 0.0000  2 V 2.29
Hf2 0.0000 0.5000 0.0000  2 V 2.29
Hf3 0.2500 0.2500 0.7500  2 V 2.29
Hf4 0.2500 0.7500 0.2500  2 V 2.29
Hf5 0.5000 0.0000 0.5000  2 V 2.29
Hf6 0.5000 0.5000 0.5000  2 V 2.29
Hf7 0.7500 0.2500 0.7500  2 V 2.29
Hf8 0.7500 0.7500 0.2500  2 V 2.29
V1 0.0000 0.2500 0.8750  4 Hf 2.29
V2 0.0000 0.7500 0.1250  4 Hf 2.29
V3 0.5000 0.2500 0.6250  4 Hf 2.29
V4 0.5000 0.7500 0.3750  4 Hf 2.29

Summary:
SG = I4_1/amd, No. 141
V = 591.89 Å³/cell
E_tot = -6.02 eV/atom
Density = 4.8 Mg/m³
Density of states at the Fermi level = 5.8 states/eV per cell
Energy above the lowest structure with this stoichiometry = 0.941 eV per atom
DFT formation energy = 150.7 kJ/mol of atoms



# 2
NaHf2W | PBE-GGA | relaxed

a = 6.8038 Å, b = 6.8038 Å, c = 6.8038 Å
α = 90.00°, β = 90.00°, γ = 90.00°
With the nearest neighbours (Å) after each atom.
Element x y z (fractional)
Na1 0.0000 0.0000 0.0000  8 Hf 2.95
Na2 0.0000 0.5000 0.5000  8 Hf 2.95
Na3 0.5000 0.0000 0.5000  8 Hf 2.95
Na4 0.5000 0.5000 0.0000  8 Hf 2.95
Hf1 0.2500 0.2500 0.2500  4 W 2.95, 4 Na 2.95
Hf2 0.2500 0.2500 0.7500  4 W 2.95, 4 Na 2.95
Hf3 0.2500 0.7500 0.2500  4 W 2.95, 4 Na 2.95
Hf4 0.2500 0.7500 0.7500  4 W 2.95, 4 Na 2.95
Hf5 0.7500 0.2500 0.2500  4 W 2.95, 4 Na 2.95
Hf6 0.7500 0.2500 0.7500  4 W 2.95, 4 Na 2.95
Hf7 0.7500 0.7500 0.2500  4 W 2.95, 4 Na 2.95
Hf8 0.7500 0.7500 0.7500  4 W 2.95, 4 Na 2.95
W1 0.0000 0.0000 0.5000  8 Hf 2.95
W2 0.0000 0.5000 0.0000  8 Hf 2.95
W3 0.5000 0.0000 0.0000  8 Hf 2.95
W4 0.5000 0.5000 0.5000  8 Hf 2.95

Summary:
SG = Fm-3m, No. 225
V = 314.95 Å³/cell
E_tot = -8.03 eV/atom
Density = 11.9 Mg/m³
Density of states at the Fermi level = 15.6 states/eV per cell
Energy above the lowest structure with this stoichiometry = 0.000 eV per atom
DFT formation energy = 49.8 kJ/mol of atoms



# 3
Na3HfW | PBE-GGA | relaxed

a = 5.5208 Å, b = 5.5208 Å, c = 5.5208 Å
α = 90.00°, β = 90.00°, γ = 90.00°
With the nearest neighbours (Å) after each atom.
Element x y z (fractional)
Na1 0.0000 0.0000 0.5000  2 W 2.76
Na2 0.0000 0.5000 0.0000  2 W 2.76
Na3 0.5000 0.0000 0.0000  2 W 2.76
Hf1 0.5000 0.5000 0.5000  12 Na 3.90
W1 0.0000 0.0000 0.0000  6 Na 2.76

Summary:
SG = Pm-3m, No. 221
V = 168.27 Å³/cell
E_tot = -3.16 eV/atom
Density = 4.3 Mg/m³
Density of states at the Fermi level = 5.2 states/eV per cell
Energy above the lowest structure with this stoichiometry = 0.000 eV per atom
DFT formation energy = 213.5 kJ/mol of atoms



# 4
Na3HfW | PBE-GGA | relaxed

a = 5.3434 Å, b = 5.3434 Å, c = 5.3434 Å
α = 90.00°, β = 90.00°, γ = 90.00°
With the nearest neighbours (Å) after each atom.
Element x y z (fractional)
Na1 0.0000 0.0000 0.5000  2 Hf 2.67
Na2 0.0000 0.5000 0.0000  2 Hf 2.67
Na3 0.5000 0.0000 0.0000  2 Hf 2.67
Hf1 0.0000 0.0000 0.0000  6 Na 2.67
W1 0.5000 0.5000 0.5000  12 Na 3.78

Summary:
SG = Pm-3m, No. 221
V = 152.56 Å³/cell
E_tot = -2.55 eV/atom
Density = 4.7 Mg/m³
Density of states at the Fermi level = 8.5 states/eV per cell
Energy above the lowest structure with this stoichiometry = 0.610 eV per atom
DFT formation energy = 272.4 kJ/mol of atoms



# 5
NaHf2W | PBE-GGA | relaxed

a = 4.2295 Å, b = 4.2295 Å, c = 19.4727 Å
α = 90.00°, β = 90.00°, γ = 90.00°
With the nearest neighbours (Å) after each atom.
Element x y z (fractional)
Na1 0.0000 0.0000 0.0000  4 Hf 2.89, 4 W 2.99
Na2 0.0000 0.5000 0.2500  4 Hf 2.89, 4 W 2.99
Na3 0.5000 0.0000 0.7500  4 Hf 2.89, 4 W 2.99
Na4 0.5000 0.5000 0.5000  4 Hf 2.89, 4 W 2.99
Hf1 0.2303 0.2500 0.6250  2 W 2.83, 4 Hf 2.88-3.11, 2 Na 2.89
Hf2 0.2500 0.7303 0.8750  2 W 2.83, 4 Hf 2.88-3.11, 2 Na 2.89
Hf3 0.2500 0.7697 0.3750  2 W 2.83, 4 Hf 2.88-3.11, 2 Na 2.89
Hf4 0.2697 0.2500 0.1250  2 W 2.83, 4 Hf 2.88-3.11, 2 Na 2.89
Hf5 0.7303 0.7500 0.1250  2 W 2.83, 4 Hf 2.88-3.11, 2 Na 2.89
Hf6 0.7500 0.2303 0.3750  2 W 2.83, 4 Hf 2.88-3.11, 2 Na 2.89
Hf7 0.7500 0.2697 0.8750  2 W 2.83, 4 Hf 2.88-3.11, 2 Na 2.89
Hf8 0.7697 0.7500 0.6250  2 W 2.83, 4 Hf 2.88-3.11, 2 Na 2.89
W1 0.0000 0.0000 0.5000  4 Hf 2.83, 4 Na 2.99
W2 0.0000 0.5000 0.7500  4 Hf 2.83, 4 Na 2.99
W3 0.5000 0.0000 0.2500  4 Hf 2.83, 4 Na 2.99
W4 0.5000 0.5000 0.0000  4 Hf 2.83, 4 Na 2.99

Summary:
SG = I-42d, No. 122
V = 348.35 Å³/cell
E_tot = -7.25 eV/atom
Density = 10.8 Mg/m³
Density of states at the Fermi level = 16.8 states/eV per cell
Energy above the lowest structure with this stoichiometry = 0.781 eV per atom
DFT formation energy = 125.1 kJ/mol of atoms



# 6
Na2HfW | PBE-GGA | relaxed

a = 6.9059 Å, b = 6.9059 Å, c = 6.9059 Å
α = 90.00°, β = 90.00°, γ = 90.00°
With the nearest neighbours (Å) after each atom.
Element x y z (fractional)
Na1 0.2500 0.2500 0.2500  4 Hf 2.99, 4 W 2.99
Na2 0.2500 0.2500 0.7500  4 Hf 2.99, 4 W 2.99
Na3 0.2500 0.7500 0.2500  4 Hf 2.99, 4 W 2.99
Na4 0.2500 0.7500 0.7500  4 Hf 2.99, 4 W 2.99
Na5 0.7500 0.2500 0.2500  4 Hf 2.99, 4 W 2.99
Na6 0.7500 0.2500 0.7500  4 Hf 2.99, 4 W 2.99
Na7 0.7500 0.7500 0.2500  4 Hf 2.99, 4 W 2.99
Na8 0.7500 0.7500 0.7500  4 Hf 2.99, 4 W 2.99
Hf1 0.0000 0.0000 0.0000  8 Na 2.99
Hf2 0.0000 0.5000 0.5000  8 Na 2.99
Hf3 0.5000 0.0000 0.5000  8 Na 2.99
Hf4 0.5000 0.5000 0.0000  8 Na 2.99
W1 0.0000 0.0000 0.5000  8 Na 2.99
W2 0.0000 0.5000 0.0000  8 Na 2.99
W3 0.5000 0.0000 0.0000  8 Na 2.99
W4 0.5000 0.5000 0.5000  8 Na 2.99

Summary:
SG = Fm-3m, No. 225
V = 329.35 Å³/cell
E_tot = -4.79 eV/atom
Density = 8.2 Mg/m³
Density of states at the Fermi level = 13.9 states/eV per cell
Energy above the lowest structure with this stoichiometry = 0.085 eV per atom
DFT formation energy = 154.4 kJ/mol of atoms



# 7
Na2HfW | PBE-GGA | relaxed

a = 8.3802 Å, b = 8.3802 Å, c = 5.2240 Å
α = 90.00°, β = 90.00°, γ = 90.00°
With the nearest neighbours (Å) after each atom.
Element x y z (fractional)
Na1 0.2371 0.7500 0.1250  2 Na 2.62
Na2 0.2500 0.2371 0.8750  2 Na 2.62
Na3 0.2500 0.2629 0.3750  2 Na 2.62
Na4 0.2629 0.7500 0.6250  2 Na 2.62
Na5 0.7371 0.2500 0.6250  2 Na 2.62
Na6 0.7500 0.7371 0.3750  2 Na 2.62
Na7 0.7500 0.7629 0.8750  2 Na 2.62
Na8 0.7629 0.2500 0.1250  2 Na 2.62
Hf1 0.0000 0.0000 0.5000  2 W 2.61
Hf2 0.0000 0.5000 0.7500  2 W 2.61
Hf3 0.5000 0.0000 0.2500  2 W 2.61
Hf4 0.5000 0.5000 0.0000  2 W 2.61
W1 0.0000 0.0000 0.0000  2 Hf 2.61
W2 0.0000 0.5000 0.2500  2 Hf 2.61
W3 0.5000 0.0000 0.7500  2 Hf 2.61
W4 0.5000 0.5000 0.5000  2 Hf 2.61

Summary:
SG = I-42d, No. 122
V = 366.87 Å³/cell
E_tot = -4.87 eV/atom
Density = 7.4 Mg/m³
Density of states at the Fermi level = 9.4 states/eV per cell
Energy above the lowest structure with this stoichiometry = 0.000 eV per atom
DFT formation energy = 146.2 kJ/mol of atoms



# 8
NaY2Hf | PBE-GGA | relaxed

a = 3.4003 Å, b = 3.4003 Å, c = 10.4016 Å
α = 90.00°, β = 90.00°, γ = 90.00°
With the nearest neighbours (Å) after each atom.
Element x y z (fractional)
Na1 0.0000 0.0000 0.0000  4 Na 3.40
Y1 0.5000 0.5000 0.2849  4 Hf 3.28, 4 Y 3.40
Y2 0.5000 0.5000 0.7151  4 Hf 3.28, 4 Y 3.40
Hf1 0.0000 0.0000 0.5000  8 Y 3.28, 4 Hf 3.40

Summary:
SG = P4/mmm, No. 123
V = 120.26 Å³/cell
E_tot = -5.90 eV/atom
Density = 5.2 Mg/m³
Density of states at the Fermi level = 4.2 states/eV per cell
Energy above the lowest structure with this stoichiometry = 0.000 eV per atom
DFT formation energy = 14.1 kJ/mol of atoms